1.
This record from Alexandria describes a relaxed SiGePb2F crystal. The functional is PBE.

The uncorrected formation energy is -23.0 kJ/mol of atoms. Its volume is 118.1 Å³ per cell.

```
data_SiGePb2F
_chemical_formula_sum 'Si1 Ge1 Pb2 F1'
_cell_length_a 5.5995
_cell_length_b 5.5995
_cell_length_c 3.7679
_cell_angle_alpha 90.00
_cell_angle_beta 90.00
_cell_angle_gamma 90.00
_space_group_name_H-M_alt 'P 4/m m m'
_space_group_IT_number 123
_space_group_name_Hall '-P 4 2'
loop_
_atom_site_label
_atom_site_fract_x
_atom_site_fract_y
_atom_site_fract_z
Si1 0.0000 0.0000 0.0000
Ge1 0.5000 0.5000 0.5000
Pb1 0.0000 0.5000 0.0000
F1 0.0000 0.0000 0.5000
```

---

2.
This record from Alexandria describes a relaxed LiYSn crystal. The functional is PBE.

The energy relative to the elements is -0.685 eV per atom. Its volume is 279.8 Å³ per cell.

```
data_LiYSn
_chemical_formula_sum 'Li4 Y4 Sn4'
_cell_length_a 7.3760
_cell_length_b 4.6678
_cell_length_c 8.1256
_cell_angle_alpha 90.00
_cell_angle_beta 90.00
_cell_angle_gamma 90.00
_space_group_name_H-M_alt 'P n m a'
_space_group_IT_number 62
loop_
_space_group_symop_operation_xyz
'x,y,z'
'-x,-y,-z'
'-x+1/2,-y,z+1/2'
'x+1/2,y,-z+1/2'
'x+1/2,-y+1/2,-z+1/2'
'-x+1/2,y+1/2,z+1/2'
'-x,y+1/2,-z'
'x,-y+1/2,z'
loop_
_atom_site_label
_atom_site_fract_x
_atom_site_fract_y
_atom_site_fract_z
Li1 0.1858 0.2500 0.0797
Y1 0.0029 0.2500 0.7219
Sn1 0.2324 0.7500 0.9113
```

---

3.
This record from Alexandria describes a relaxed OsRu2Cl crystal. The functional is PBE.

The uncorrected formation energy is 90.7 kJ/mol of atoms. Its volume is 59.0 Å³ per cell.

```
data_OsRu2Cl
_chemical_formula_sum 'Os1 Ru2 Cl1'
_cell_length_a 4.6145
_cell_length_b 4.6145
_cell_length_c 2.7714
_cell_angle_alpha 90.00
_cell_angle_beta 90.00
_cell_angle_gamma 90.00
_space_group_name_H-M_alt 'P 4/m m m'
_space_group_IT_number 123
_space_group_name_Hall '-P 4 2'
loop_
_atom_site_label
_atom_site_fract_x
_atom_site_fract_y
_atom_site_fract_z
Os1 0.0000 0.0000 0.0000
Ru1 0.0000 0.5000 0.5000
Cl1 0.5000 0.5000 0.0000
```

---

4.
This record from Alexandria describes a relaxed NaTl2SiAs2 crystal. The functional is PBE.

The uncorrected formation energy is -11.3 kJ/mol of atoms. Its volume is 671.6 Å³ per cell.

```
data_NaTl2SiAs2
_chemical_formula_sum 'Na4 Tl8 Si4 As8'
_cell_length_a 6.6492
_cell_length_b 16.0061
_cell_length_c 6.3106
_cell_angle_alpha 90.00
_cell_angle_beta 90.00
_cell_angle_gamma 90.00
_space_group_name_H-M_alt 'I b a m'
_space_group_IT_number 72
_space_group_name_Hall '-I 2 2c'
loop_
_atom_site_label
_atom_site_fract_x
_atom_site_fract_y
_atom_site_fract_z
Na1 0.0000 0.0000 0.2500
Tl1 0.1790 0.2848 0.0000
Si1 0.0000 0.5000 0.2500
As1 0.1837 0.4151 0.5000
```